VASP calculation (PBE-GGA) on a relaxed Pm2Sc3Si4 crystal.

a b c (Å): 7.454 7.479 7.175
angles (deg): 90.00 108.06 90.00
Space group P2_1/c (No. 14)
Asymmetric unit:
Pm  0.195  0.173  0.074 x4
Sc  0.250  0.678  0.250 x4
Sc  0.500  0.000  0.500 x2
Si  0.078  0.537  0.871 x4
Si  0.497  0.121  0.873 x4

Results
Total DFT energy (no corrections) ... -57.54 eV per formula unit
Calculated volume ... 21.13 Å³ per atom
Crystal system ... monoclinic
Formation energy (no corrections) ... -0.817 eV/atom



VASP calculation (PBE-GGA) on a relaxed PmScSi crystal.

a b c (Å): 6.751 6.751 6.751
angles (deg): 90.00 90.00 90.00
Space group F-43m (No. 216)
Asymmetric unit:
Pm  0.000  0.000  0.000 x4
Sc  0.000  0.000  0.500 x4
Si  0.250  0.250  0.250 x4

Results
Offset from the most stable computed form ... 163 meV per atom
Total DFT energy (no corrections) ... -17.85 eV per formula unit
Calculated volume ... 25.64 Å³ per atom
Crystal system ... cubic
Formation energy (no corrections) ... -0.448 eV/atom



VASP calculation (PBE-GGA) on a relaxed PmSc2Si crystal.

a b c (Å): 4.474 4.474 4.461
angles (deg): 90.00 90.00 90.00
Space group P4/mmm (No. 123)
Asymmetric unit:
Pm  0.000  0.000  0.000 x1
Sc  0.000  0.500  0.500 x2
Si  0.500  0.500  0.000 x1

Results
Total DFT energy (no corrections) ... -23.96 eV per formula unit
Calculated volume ... 22.32 Å³ per atom
Crystal system ... tetragonal
Formation energy (no corrections) ... -0.282 eV/atom



VASP calculation (PBE-GGA) on a relaxed PmSc2Si2 crystal.

a b c (Å): 4.951 3.896 11.568
angles (deg): 90.00 96.55 90.00
Space group P2_1/m (No. 11)
Asymmetric unit:
Pm  0.182  0.250  0.240 x2
Sc  0.247  0.750  0.485 x2
Sc  0.349  0.250  0.895 x2
Si  0.140  0.750  0.028 x2
Si  0.292  0.250  0.659 x2

Results
Total DFT energy (no corrections) ... -30.98 eV per formula unit
Calculated volume ... 22.17 Å³ per atom
Crystal system ... monoclinic
Formation energy (no corrections) ... -0.545 eV/atom



VASP calculation (PBE-GGA) on a relaxed Pm5Sc4Si4 crystal.

a b c (Å): 12.241 12.241 4.268
angles (deg): 90.00 90.00 90.00
Space group I4/m (No. 87)
Asymmetric unit:
Pm  0.000  0.000  0.000 x2
Pm  0.128  0.202  0.500 x8
Sc  0.089  0.601  0.500 x8
Si  0.066  0.751  0.000 x8

Results
Total DFT energy (no corrections) ... -77.57 eV per formula unit
Calculated volume ... 24.60 Å³ per atom
Crystal system ... tetragonal
Formation energy (no corrections) ... -0.523 eV/atom



VASP calculation (PBE-GGA) on a relaxed PmScZnSi crystal.

a b c (Å): 6.935 6.935 6.935
angles (deg): 90.00 90.00 90.00
Space group F-43m (No. 216)
Asymmetric unit:
Pm  0.000  0.000  0.000 x4
Sc  0.000  0.000  0.500 x4
Zn  0.250  0.250  0.750 x4
Si  0.250  0.250  0.250 x4

Results
Total DFT energy (no corrections) ... -19.53 eV per formula unit
Calculated volume ... 20.84 Å³ per atom
Crystal system ... cubic
Formation energy (no corrections) ... -0.437 eV/atom



VASP calculation (PBE-GGA) on a relaxed Pm7Sm4Sc crystal.

a b c (Å): 16.339 5.981 9.379
angles (deg): 90.00 116.82 90.00
Space group C2/m (No. 12)
Asymmetric unit:
Pm  0.000  0.000  0.000 x2
Pm  0.073  0.500  0.711 x4
Pm  0.168  0.500  0.382 x4
Pm  0.217  0.000  0.880 x4
Sm  0.084  0.000  0.448 x4
Sm  0.211  0.000  0.232 x4
Sc  0.000  0.500  0.000 x2

Results
Offset from the most stable computed form ... 197 meV per atom
Energy of formation from the pure elements ... 21.42 kJ/mol of atoms
Total DFT energy (no corrections) ... -55.80 eV per formula unit
Calculated volume ... 34.09 Å³ per atom
Crystal system ... monoclinic



VASP calculation (PBE-GGA) on a relaxed Pm2SmSc5 crystal.

a b c (Å): 6.899 6.899 9.314
angles (deg): 90.00 90.00 90.00
Space group I4mm (No. 107)
Asymmetric unit:
Pm  0.000  0.500  0.000 x4
Sm  0.000  0.000  0.000 x2
Sc  0.000  0.000  0.500 x2
Sc  0.250  0.250  0.250 x8

Results
Energy of formation from the pure elements ... 5.99 kJ/mol of atoms
Total DFT energy (no corrections) ... -45.38 eV per formula unit
Calculated volume ... 27.71 Å³ per atom
Crystal system ... tetragonal